No. 1
DFT (GGA-PBE) results for a geometry-optimized VPdW3 structure.

Lattice parameters (Å, degrees): 4.709 4.709 4.709 90.00 90.00 90.00
Positions (direct):
1 V 0.000 0.000 0.000
2 Pd 0.500 0.500 0.500
3 W 0.000 0.500 0.500
4 W 0.500 0.000 0.500
5 W 0.500 0.500 0.000

The offset from the most stable computed form comes out at 0.825 eV/atom. For the density of states at the Fermi level, the calculation gives 8.04 states/eV/cell. The calculation puts the formation energy at 2.384 eV per atom. The space-group type is Pm-3m (221).

---

No. 2
DFT (GGA-PBE) results for a geometry-optimized VPdW structure.

Lattice parameters (Å, degrees): 4.817 5.287 8.475 90.00 120.78 90.00
Positions (direct):
1 V 0.049 0.018 0.245
2 V 0.049 0.482 0.745
3 V 0.951 0.518 0.255
4 V 0.951 0.982 0.755
5 Pd 0.397 0.183 0.074
6 Pd 0.397 0.317 0.574
7 Pd 0.603 0.683 0.426
8 Pd 0.603 0.817 0.926
9 W 0.231 0.678 0.060
10 W 0.231 0.822 0.560
11 W 0.769 0.178 0.440
12 W 0.769 0.322 0.940

The offset from the most stable computed form comes out at 0.067 eV/atom. For the density of states at the Fermi level, the calculation gives 14.42 states/eV/cell. The calculation puts the formation energy at 0.242 eV per atom. The space-group type is P2_1/c (14).